Pm2Hg3Pb | PBE | optimized geometry

Cell and atoms, written as CIF:
```
data_Pm2Hg3Pb
_cell_length_a 15.389
_cell_length_b 4.985
_cell_length_c 11.151
_cell_angle_alpha 90.00
_cell_angle_beta 130.30
_cell_angle_gamma 90.00
_space_group_name_H-M_alt 'C 1 2/m 1'
_space_group_IT_number 12
loop_
_space_group_symop_operation_xyz
'x,y,z'
'-x,-y,-z'
'-x,y,-z'
'x,-y,z'
'x+1/2,y+1/2,z'
'-x+1/2,-y+1/2,-z'
'-x+1/2,y+1/2,-z'
'x+1/2,-y+1/2,z'
loop_
_atom_site_label
_atom_site_type_symbol
_atom_site_fract_x
_atom_site_fract_y
_atom_site_fract_z
Pm1 Pm 0.107 0.000 0.462
Pm2 Pm 0.229 0.500 0.108
Hg1 Hg 0.066 0.000 0.932
Hg2 Hg 0.093 0.500 0.240
Hg3 Hg 0.229 0.000 0.319
Pb1 Pb 0.082 0.500 0.697
```

Calculated values
- formation energy from the elements (kcal/mol of atoms) = -8.9
- excess energy over the best structure of this formula in the dataset (meV/atom) = 9.8

---

In7Sn3 | PBE | optimized geometry

Cell and atoms, written as CIF:
```
data_In7Sn3
_cell_length_a 16.691
_cell_length_b 5.052
_cell_length_c 6.570
_cell_angle_alpha 90.00
_cell_angle_beta 97.96
_cell_angle_gamma 90.00
_space_group_name_H-M_alt 'C 1 2/m 1'
_space_group_IT_number 12
loop_
_space_group_symop_operation_xyz
'x,y,z'
'-x,-y,-z'
'-x,y,-z'
'x,-y,z'
'x+1/2,y+1/2,z'
'-x+1/2,-y+1/2,-z'
'-x+1/2,y+1/2,-z'
'x+1/2,-y+1/2,z'
loop_
_atom_site_label
_atom_site_type_symbol
_atom_site_fract_x
_atom_site_fract_y
_atom_site_fract_z
In1 In 0.000 0.000 0.000
In2 In 0.099 0.500 0.796
In3 In 0.100 0.500 0.296
In4 In 0.200 0.000 0.597
Sn1 Sn 0.000 0.000 0.500
Sn2 Sn 0.202 0.000 0.099
```

Calculated values
- formation energy from the elements (kcal/mol of atoms) = 0.4
- excess energy over the best structure of this formula in the dataset (meV/atom) = 0.0

---

BaTc2Br | PBE | optimized geometry

Cell and atoms, written as CIF:
```
data_BaTc2Br
_cell_length_a 3.389
_cell_length_b 5.322
_cell_length_c 5.704
_cell_angle_alpha 90.00
_cell_angle_beta 90.00
_cell_angle_gamma 90.00
_space_group_name_H-M_alt 'P m m m'
_space_group_IT_number 47
loop_
_space_group_symop_operation_xyz
'x,y,z'
'-x,-y,-z'
'-x,-y,z'
'x,y,-z'
'x,-y,-z'
'-x,y,z'
'-x,y,-z'
'x,-y,z'
loop_
_atom_site_label
_atom_site_type_symbol
_atom_site_fract_x
_atom_site_fract_y
_atom_site_fract_z
Ba1 Ba 0.000 0.000 0.000
Tc1 Tc 0.500 0.200 0.500
Br1 Br 0.500 0.500 0.000
```

Calculated values
- excess energy over the best structure of this formula in the dataset (meV/atom) = 509.4

---

TaSbRu2 | PBE | optimized geometry

Cell and atoms, written as CIF:
```
data_TaSbRu2
_cell_length_a 5.928
_cell_length_b 5.928
_cell_length_c 11.035
_cell_angle_alpha 90.00
_cell_angle_beta 90.00
_cell_angle_gamma 90.00
_space_group_name_H-M_alt 'I -4 2 d'
_space_group_IT_number 122
_space_group_name_Hall 'I -4 2bw'
loop_
_atom_site_label
_atom_site_type_symbol
_atom_site_fract_x
_atom_site_fract_y
_atom_site_fract_z
Ta1 Ta 0.000 0.000 0.000
Sb1 Sb 0.000 0.000 0.500
Ru1 Ru 0.237 0.250 0.125
```

---

Pm8ErTm3 | PBE | optimized geometry

Cell and atoms, written as CIF:
```
data_Pm8ErTm3
_cell_length_a 6.224
_cell_length_b 7.220
_cell_length_c 9.492
_cell_angle_alpha 79.00
_cell_angle_beta 77.26
_cell_angle_gamma 73.08
_space_group_name_H-M_alt 'P -1'
_space_group_IT_number 2
loop_
_space_group_symop_operation_xyz
'x,y,z'
'-x,-y,-z'
loop_
_atom_site_label
_atom_site_type_symbol
_atom_site_fract_x
_atom_site_fract_y
_atom_site_fract_z
Pm1 Pm 0.001 0.333 0.167
Pm2 Pm 0.001 0.833 0.168
Pm3 Pm 0.498 0.167 0.333
Pm4 Pm 0.498 0.667 0.333
Er1 Er 0.500 0.000 0.000
Tm1 Tm 0.000 0.000 0.500
Tm2 Tm 0.000 0.500 0.500
Tm3 Tm 0.500 0.500 0.000
```

Calculated values
- formation energy from the elements (kcal/mol of atoms) = 0.3

---

Sm6BC2Cl3 | PBE | optimized geometry

Cell and atoms, written as CIF:
```
data_Sm6BC2Cl3
_cell_length_a 17.769
_cell_length_b 3.802
_cell_length_c 8.229
_cell_angle_alpha 90.00
_cell_angle_beta 109.63
_cell_angle_gamma 90.00
_space_group_name_H-M_alt 'C 1 2/m 1'
_space_group_IT_number 12
loop_
_space_group_symop_operation_xyz
'x,y,z'
'-x,-y,-z'
'-x,y,-z'
'x,-y,z'
'x+1/2,y+1/2,z'
'-x+1/2,-y+1/2,-z'
'-x+1/2,y+1/2,-z'
'x+1/2,-y+1/2,z'
loop_
_atom_site_label
_atom_site_type_symbol
_atom_site_fract_x
_atom_site_fract_y
_atom_site_fract_z
Sm1 Sm 0.014 0.000 0.227
Sm2 Sm 0.157 0.500 0.119
Sm3 Sm 0.180 0.500 0.551
B1 B 0.000 0.500 0.000
C1 C 0.169 0.000 0.338
Cl1 Cl 0.000 0.500 0.500
Cl2 Cl 0.166 0.000 0.833
```

---

NpGePt2 | PBE | optimized geometry

Cell and atoms, written as CIF:
```
data_NpGePt2
_cell_length_a 3.642
_cell_length_b 3.682
_cell_length_c 5.736
_cell_angle_alpha 90.00
_cell_angle_beta 90.10
_cell_angle_gamma 90.00
_space_group_name_H-M_alt 'P 1 2/m 1'
_space_group_IT_number 10
loop_
_space_group_symop_operation_xyz
'x,y,z'
'-x,-y,-z'
'-x,y,-z'
'x,-y,z'
loop_
_atom_site_label
_atom_site_type_symbol
_atom_site_fract_x
_atom_site_fract_y
_atom_site_fract_z
Np1 Np 0.000 0.000 0.000
Ge1 Ge 0.000 0.000 0.500
Pt1 Pt 0.500 0.500 0.261
```

Calculated values
- formation energy from the elements (kcal/mol of atoms) = -7.5

---

ErTh2Al6 | PBE | optimized geometry

Cell and atoms, written as CIF:
```
data_ErTh2Al6
_cell_length_a 7.8971
_cell_length_b 7.8971
_cell_length_c 3.7081
_cell_angle_alpha 90.00
_cell_angle_beta 90.00
_cell_angle_gamma 120.00
_space_group_name_H-M_alt 'P 6/m m m'
_space_group_IT_number 191
_space_group_name_Hall '-P 6 2'
loop_
_atom_site_label
_atom_site_type_symbol
_atom_site_fract_x
_atom_site_fract_y
_atom_site_fract_z
Er1 Er 0.0000 0.0000 0.0000
Th1 Th 0.3333 0.6667 0.0000
Al1 Al 0.0000 0.3305 0.5000
```

Calculated values
- formation energy from the elements (kcal/mol of atoms) = -10.0

---

| no. | Fermi-level density of states (states/eV/f.u.) | final energy (eV/atom) |
| --- | --- | --- |
| 1 | 4.26 | -2.7394 |
| 2 | 2.96 | -3.1002 |
| 3 | 4.74 | -5.4418 |
| 4 | 1.53 | -7.9448 |
| 5 | 14.76 | -4.6509 |
| 6 | 5.48 | -5.9075 |
| 7 | 10.27 | -7.7342 |
| 8 | 4.02 | -5.0833 |